1.
The following is a DFT calculation (PBEsol) of a geometry-optimized LiMgCd structure.

Structure (CIF):
```
data_LiMgCd
_chemical_formula_sum 'Li1 Mg1 Cd1'
_cell_length_a 4.7450
_cell_length_b 4.7450
_cell_length_c 2.9182
_cell_angle_alpha 90.00
_cell_angle_beta 90.00
_cell_angle_gamma 120.00
_space_group_name_H-M_alt 'P 3 m 1'
_space_group_IT_number 156
loop_
_space_group_symop_operation_xyz
'x,y,z'
'-y,x-y,z'
'-x+y,-x,z'
'-y,-x,z'
'-x+y,y,z'
'x,x-y,z'
loop_
_atom_site_label
_atom_site_type_symbol
_atom_site_fract_x
_atom_site_fract_y
_atom_site_fract_z
_atom_site_occupancy
Li1 Li 0.0000 0.0000 0.0000 1
Mg1 Mg 0.3333 0.6667 0.3212 1
Cd1 Cd 0.6667 0.3333 0.7221 1
```

Properties
The formation energy comes out at -51 kJ/mol of formula units. The value obtained for the total energy is -5.41 eV per formula unit. The value obtained for the calculated density is 4192 kg/m³. Its total magnetization is 0.0000 μB/atom.

***

2.
The following is a DFT calculation (PBEsol) of a geometry-optimized ZrZnSiO2 structure.

Structure (CIF):
```
data_ZrZnSiO2
_chemical_formula_sum 'Zr1 Zn1 Si1 O2'
_cell_length_a 3.8704
_cell_length_b 3.8704
_cell_length_c 4.5842
_cell_angle_alpha 90.00
_cell_angle_beta 90.00
_cell_angle_gamma 90.00
_space_group_name_H-M_alt 'P 4/m m m'
_space_group_IT_number 123
_space_group_name_Hall '-P 4 2'
loop_
_atom_site_label
_atom_site_type_symbol
_atom_site_fract_x
_atom_site_fract_y
_atom_site_fract_z
_atom_site_occupancy
Zr1 Zr 0.0000 0.0000 0.0000 1
Zn1 Zn 0.5000 0.5000 0.5000 1
Si1 Si 0.5000 0.5000 0.0000 1
O1 O 0.0000 0.5000 0.5000 1
```

Properties
The value obtained for the total energy is -28.69 eV per formula unit. The value obtained for the calculated density is 5240 kg/m³. Its total magnetization is 0.0000 μB/atom. The formation energy without anion corrections is -0.356 eV/atom.

***

3.
The following is a DFT calculation (PBEsol) of a geometry-optimized SrAs2Se structure.

Structure (CIF):
```
data_SrAs2Se
_chemical_formula_sum 'Sr1 As2 Se1'
_cell_length_a 4.3230
_cell_length_b 4.0126
_cell_length_c 6.0848
_cell_angle_alpha 90.00
_cell_angle_beta 108.69
_cell_angle_gamma 90.00
_space_group_name_H-M_alt 'P 1 m 1'
_space_group_IT_number 6
loop_
_space_group_symop_operation_xyz
'x,y,z'
'x,-y,z'
loop_
_atom_site_label
_atom_site_type_symbol
_atom_site_fract_x
_atom_site_fract_y
_atom_site_fract_z
_atom_site_occupancy
Sr1 Sr 0.0000 0.0000 0.0000 1
As1 As 0.2811 0.0000 0.5685 1
As2 As 0.6252 0.5000 0.5386 1
Se1 Se 0.5538 0.5000 0.1248 1
```

Properties
The value obtained for the total energy is -19.13 eV per formula unit. The value obtained for the calculated density is 5255 kg/m³. Its total magnetization is 0.0000 μB/atom. The formation energy without anion corrections is -0.807 eV/atom.

***

4.
The following is a DFT calculation (PBEsol) of a geometry-optimized CdSi2Se structure.

Structure (CIF):
```
data_CdSi2Se
_chemical_formula_sum 'Cd4 Si8 Se4'
_cell_length_a 6.6769
_cell_length_b 6.6769
_cell_length_c 6.6769
_cell_angle_alpha 90.00
_cell_angle_beta 90.00
_cell_angle_gamma 90.00
_space_group_name_H-M_alt 'F m -3 m'
_space_group_IT_number 225
_space_group_name_Hall '-F 4 2 3'
loop_
_atom_site_label
_atom_site_type_symbol
_atom_site_fract_x
_atom_site_fract_y
_atom_site_fract_z
_atom_site_occupancy
Cd1 Cd 0.0000 0.0000 0.0000 1
Si1 Si 0.2500 0.2500 0.2500 1
Se1 Se 0.0000 0.0000 0.5000 1
```

Properties
The value obtained for the total energy is -14.47 eV per formula unit. The value obtained for the calculated density is 5524 kg/m³. Its total magnetization is 0.0000 μB/atom. The formation energy without anion corrections is 0.517 eV/atom.

***

5.
The following is a DFT calculation (PBEsol) of a geometry-optimized InCu2Ru structure.

Structure (CIF):
```
data_InCu2Ru
_chemical_formula_sum 'In4 Cu8 Ru4'
_cell_length_a 6.0839
_cell_length_b 6.0839
_cell_length_c 6.0839
_cell_angle_alpha 90.00
_cell_angle_beta 90.00
_cell_angle_gamma 90.00
_space_group_name_H-M_alt 'F -4 3 m'
_space_group_IT_number 216
_space_group_name_Hall 'F -4 2 3'
loop_
_atom_site_label
_atom_site_type_symbol
_atom_site_fract_x
_atom_site_fract_y
_atom_site_fract_z
_atom_site_occupancy
In1 In 0.0000 0.0000 0.0000 1
Cu1 Cu 0.0000 0.0000 0.5000 1
Cu2 Cu 0.2500 0.2500 0.7500 1
Ru1 Ru 0.2500 0.2500 0.2500 1
```

Properties
The formation energy comes out at 74 kJ/mol of formula units. The value obtained for the total energy is -21.06 eV per formula unit. The value obtained for the calculated density is 10117 kg/m³. Its total magnetization is 0.0000 μB/atom.

***

6.
The following is a DFT calculation (PBEsol) of a geometry-optimized FeAuCl2 structure.

Structure (CIF):
```
data_FeAuCl2
_chemical_formula_sum 'Fe2 Au2 Cl4'
_cell_length_a 3.0588
_cell_length_b 5.3486
_cell_length_c 9.3171
_cell_angle_alpha 90.00
_cell_angle_beta 90.00
_cell_angle_gamma 90.00
_space_group_name_H-M_alt 'C m m m'
_space_group_IT_number 65
_space_group_name_Hall '-C 2 2'
loop_
_atom_site_label
_atom_site_type_symbol
_atom_site_fract_x
_atom_site_fract_y
_atom_site_fract_z
_atom_site_occupancy
Fe1 Fe 0.0000 0.0000 0.0000 1
Au1 Au 0.0000 0.0000 0.5000 1
Cl1 Cl 0.0000 0.5000 0.1831 1
```

Properties
The value obtained for the total energy is -16.67 eV per formula unit. The value obtained for the calculated density is 7053 kg/m³. Its total magnetization is 0.9029 μB/atom. The formation energy without anion corrections is 0.058 eV/atom.

***

7.
The following is a DFT calculation (PBEsol) of a geometry-optimized BaCrNi2 structure.

Structure (CIF):
```
data_BaCrNi2
_chemical_formula_sum 'Ba4 Cr4 Ni8'
_cell_length_a 6.4942
_cell_length_b 6.4942
_cell_length_c 6.4942
_cell_angle_alpha 90.00
_cell_angle_beta 90.00
_cell_angle_gamma 90.00
_space_group_name_H-M_alt 'F -4 3 m'
_space_group_IT_number 216
_space_group_name_Hall 'F -4 2 3'
loop_
_atom_site_label
_atom_site_type_symbol
_atom_site_fract_x
_atom_site_fract_y
_atom_site_fract_z
_atom_site_occupancy
Ba1 Ba 0.0000 0.0000 0.0000 1
Cr1 Cr 0.2500 0.2500 0.7500 1
Ni1 Ni 0.0000 0.0000 0.5000 1
Ni2 Ni 0.2500 0.2500 0.2500 1
```

Properties
The formation energy comes out at 365 kJ/mol of formula units. The value obtained for the total energy is -20.93 eV per formula unit. The value obtained for the calculated density is 7438 kg/m³. Its total magnetization is 0.9893 μB/atom.

***

8.
The following is a DFT calculation (PBEsol) of a geometry-optimized Si2IrW structure.

Structure (CIF):
```
data_Si2IrW
_chemical_formula_sum 'Si4 Ir2 W2'
_cell_length_a 8.0662
_cell_length_b 2.7348
_cell_length_c 5.1104
_cell_angle_alpha 90.00
_cell_angle_beta 101.94
_cell_angle_gamma 90.00
_space_group_name_H-M_alt 'C 1 2/m 1'
_space_group_IT_number 12
loop_
_space_group_symop_operation_xyz
'x,y,z'
'-x,-y,-z'
'-x,y,-z'
'x,-y,z'
'x+1/2,y+1/2,z'
'-x+1/2,-y+1/2,-z'
'-x+1/2,y+1/2,-z'
'x+1/2,-y+1/2,z'
loop_
_atom_site_label
_atom_site_type_symbol
_atom_site_fract_x
_atom_site_fract_y
_atom_site_fract_z
_atom_site_occupancy
Si1 Si 0.2457 0.0000 0.2402 1
Ir1 Ir 0.0000 0.5000 0.0000 1
W1 W 0.0000 0.0000 0.5000 1
```

Properties
The value obtained for the total energy is -36.03 eV per formula unit. The value obtained for the calculated density is 13015 kg/m³. Its total magnetization is 0.0000 μB/atom. The formation energy without anion corrections is -0.227 eV/atom.

***

9.
The following is a DFT calculation (PBEsol) of a geometry-optimized BeCd2HBr structure.

Structure (CIF):
```
data_BeCd2HBr
_chemical_formula_sum 'Be1 Cd2 H1 Br1'
_cell_length_a 5.1729
_cell_length_b 5.1729
_cell_length_c 3.3652
_cell_angle_alpha 90.00
_cell_angle_beta 90.00
_cell_angle_gamma 90.00
_space_group_name_H-M_alt 'P 4/m m m'
_space_group_IT_number 123
_space_group_name_Hall '-P 4 2'
loop_
_atom_site_label
_atom_site_type_symbol
_atom_site_fract_x
_atom_site_fract_y
_atom_site_fract_z
_atom_site_occupancy
Be1 Be 0.0000 0.0000 0.0000 1
Cd1 Cd 0.0000 0.5000 0.0000 1
H1 H 0.0000 0.0000 0.5000 1
Br1 Br 0.5000 0.5000 0.5000 1
```

Properties
The value obtained for the total energy is -10.06 eV per formula unit. The value obtained for the calculated density is 5804 kg/m³. Its total magnetization is 0.0001 μB/atom.

***

10.
The following is a DFT calculation (PBEsol) of a geometry-optimized Be2GaN structure.

Structure (CIF):
```
data_Be2GaN
_chemical_formula_sum 'Be8 Ga4 N4'
_cell_length_a 4.9986
_cell_length_b 4.9986
_cell_length_c 7.0822
_cell_angle_alpha 90.00
_cell_angle_beta 90.00
_cell_angle_gamma 90.00
_space_group_name_H-M_alt 'I -4 2 d'
_space_group_IT_number 122
_space_group_name_Hall 'I -4 2bw'
loop_
_atom_site_label
_atom_site_type_symbol
_atom_site_fract_x
_atom_site_fract_y
_atom_site_fract_z
_atom_site_occupancy
Be1 Be 0.1051 0.2500 0.1250 1
Ga1 Ga 0.0000 0.0000 0.5000 1
N1 N 0.0000 0.0000 0.0000 1
```

Properties
The value obtained for the total energy is -21.32 eV per formula unit. The value obtained for the calculated density is 3819 kg/m³. Its total magnetization is 0.0000 μB/atom. The formation energy without anion corrections is -0.364 eV/atom.

***

11.
The following is a DFT calculation (PBEsol) of a geometry-optimized Eu3Mg structure.

Structure (CIF):
```
data_Eu3Mg
_chemical_formula_sum 'Eu3 Mg1'
_cell_length_a 5.1380
_cell_length_b 5.1380
_cell_length_c 5.1380
_cell_angle_alpha 90.00
_cell_angle_beta 90.00
_cell_angle_gamma 90.00
_space_group_name_H-M_alt 'P m -3 m'
_space_group_IT_number 221
_space_group_name_Hall '-P 4 2 3'
loop_
_atom_site_label
_atom_site_type_symbol
_atom_site_fract_x
_atom_site_fract_y
_atom_site_fract_z
_atom_site_occupancy
Eu1 Eu 0.0000 0.0000 0.5000 1
Mg1 Mg 0.5000 0.5000 0.5000 1
```

Properties
The formation energy comes out at -8 kJ/mol of formula units. The value obtained for the total energy is -33.49 eV per formula unit. The value obtained for the calculated density is 5879 kg/m³. Its total magnetization is 5.7516 μB/atom.

***

12.
The following is a DFT calculation (PBEsol) of a geometry-optimized TaCuSi2 structure.

Structure (CIF):
```
data_TaCuSi2
_chemical_formula_sum 'Ta4 Cu4 Si8'
_cell_length_a 6.1086
_cell_length_b 6.1086
_cell_length_c 6.1086
_cell_angle_alpha 90.00
_cell_angle_beta 90.00
_cell_angle_gamma 90.00
_space_group_name_H-M_alt 'F -4 3 m'
_space_group_IT_number 216
_space_group_name_Hall 'F -4 2 3'
loop_
_atom_site_label
_atom_site_type_symbol
_atom_site_fract_x
_atom_site_fract_y
_atom_site_fract_z
_atom_site_occupancy
Ta1 Ta 0.0000 0.0000 0.0000 1
Cu1 Cu 0.2500 0.2500 0.7500 1
Si1 Si 0.0000 0.0000 0.5000 1
Si2 Si 0.2500 0.2500 0.2500 1
```

Properties
The value obtained for the total energy is -27.08 eV per formula unit. The value obtained for the calculated density is 8761 kg/m³. Its total magnetization is 0.0001 μB/atom. The formation energy without anion corrections is 0.324 eV/atom.